No. 1
The following is a PBE-GGA calculation of a relaxed structure of Cu3Pt, from Alexandria via LeMat-Bulk.

abc: 2.8334 2.8334 6.4230
angles: 90.00 90.00 90.00
Element x y z (fractional)
Cu (0.0000, 0.0000, 0.0000)
Cu (0.5000, 0.5000, 0.2327)
Cu (0.5000, 0.5000, 0.7673)
Pt (0.0000, 0.0000, 0.5000)

DFT total energy ... -4.674 eV/atom
Space group ... P4/mmm (123)
Energy of formation from the pure elements ... -92 meV/atom

---

No. 2
The following is a PBE-GGA calculation of a relaxed structure of Dy5Ho2Er2, from Alexandria via LeMat-Bulk.

abc: 10.2197 10.2197 10.2197
angles: 86.56 103.63 145.53
Element x y z (fractional)
Dy (0.0728, 0.0063, 0.5665)
Dy (0.2010, 0.0483, 0.2493)
Dy (0.2010, 0.4517, 0.6527)
Dy (0.4397, 0.5063, 0.4335)
Dy (0.4832, 0.0285, 0.1690)
Dy (0.4832, 0.8142, 0.9547)
Dy (0.7990, 0.5483, 0.3473)
Dy (0.7990, 0.9517, 0.7507)
Dy (0.8595, 0.3142, 0.8310)
Dy (0.8595, 0.5285, 0.0453)
Ho (0.1137, 0.2960, 0.0881)
Ho (0.1137, 0.5256, 0.3177)
Ho (0.2079, 0.0256, 0.9119)
Ho (0.2079, 0.7960, 0.6823)
Er (0.6002, 0.1002, 0.5000)
Er (0.6002, 0.6002, 0.0000)
Er (0.6661, 0.4670, 0.6991)
Er (0.7679, 0.9670, 0.3009)

Polymorph energy (0 for the lowest one) ... 173 meV per atom
DFT total energy ... -4.396 eV/atom
Space group ... Ima2 (46)
Energy of formation from the pure elements ... 192 meV/atom

---

No. 3
The following is a PBE-GGA calculation of a relaxed structure of Dy2BHPt6, from Alexandria via LeMat-Bulk.

abc: 5.8180 5.8214 6.2513
angles: 90.16 117.22 119.79
Element x y z (fractional)
Dy (0.0000, 0.0000, 0.0000)
Dy (0.0326, 0.5171, 0.5560)
B (0.5239, 0.2615, 0.7848)
H (0.7042, 0.8498, 0.5570)
Pt (0.0094, 0.0055, 0.4935)
Pt (0.0307, 0.5155, 0.0464)
Pt (0.4837, 0.4807, 0.4938)
Pt (0.4852, 0.0030, 0.4942)
Pt (0.5280, 0.0135, 0.0439)
Pt (0.5275, 0.5155, 0.0433)

DFT total energy ... -6.386 eV/atom
Space group ... P1 (1)

---

No. 4
The following is a PBE-GGA calculation of a relaxed structure of KMn2Zn, from Alexandria via LeMat-Bulk.

abc: 2.9367 2.9367 30.7451
angles: 90.00 90.00 120.00
Element x y z (fractional)
K (0.0000, 0.0000, 0.0000)
K (0.3333, 0.6667, 0.6667)
K (0.6667, 0.3333, 0.3333)
Mn (0.0000, 0.0000, 0.5007)
Mn (0.0000, 0.0000, 0.7667)
Mn (0.3333, 0.6667, 0.1674)
Mn (0.3333, 0.6667, 0.4334)
Mn (0.6667, 0.3333, 0.1000)
Mn (0.6667, 0.3333, 0.8341)
Zn (0.0000, 0.0000, 0.2364)
Zn (0.3333, 0.6667, 0.9031)
Zn (0.6667, 0.3333, 0.5698)

DFT total energy ... -4.468 eV/atom
Space group ... R3m (160)
Energy of formation from the pure elements ... 710 meV/atom

---

No. 5
The following is a PBE-GGA calculation of a relaxed structure of Sm4SiTeS2, from Alexandria via LeMat-Bulk.

abc: 7.1657 4.1641 7.3698
angles: 90.00 109.31 90.00
Element x y z (fractional)
Sm (0.2314, 0.0000, 0.2221)
Sm (0.2446, 0.5000, 0.7637)
Sm (0.7554, 0.5000, 0.2363)
Sm (0.7686, 0.0000, 0.7779)
Si (0.5000, 0.0000, 0.0000)
Te (0.5000, 0.5000, 0.5000)
S (0.0000, 0.0000, 0.5000)
S (0.0000, 0.5000, 0.0000)

DFT total energy ... -6.015 eV/atom
Space group ... P2/m (10)
Formation energy from raw total energies ... -1553 meV/atom

---

No. 6
The following is a PBE-GGA calculation of a relaxed structure of MgMnInNi, from Alexandria via LeMat-Bulk.

abc: 6.3658 6.3658 6.3658
angles: 90.00 90.00 90.00
Element x y z (fractional)
Mg (0.0000, 0.0000, 0.0000)
Mg (0.0000, 0.5000, 0.5000)
Mg (0.5000, 0.0000, 0.5000)
Mg (0.5000, 0.5000, 0.0000)
Mn (0.2500, 0.2500, 0.7500)
Mn (0.2500, 0.7500, 0.2500)
Mn (0.7500, 0.2500, 0.2500)
Mn (0.7500, 0.7500, 0.7500)
In (0.0000, 0.0000, 0.5000)
In (0.0000, 0.5000, 0.0000)
In (0.5000, 0.0000, 0.0000)
In (0.5000, 0.5000, 0.5000)
Ni (0.2500, 0.2500, 0.2500)
Ni (0.2500, 0.7500, 0.7500)
Ni (0.7500, 0.2500, 0.7500)
Ni (0.7500, 0.7500, 0.2500)

DFT total energy ... -4.807 eV/atom
Space group ... F-43m (216)
Energy of formation from the pure elements ... 14 meV/atom

---

No. 7
The following is a PBE-GGA calculation of a relaxed structure of RbSrZn2Te, from Alexandria via LeMat-Bulk.

abc: 6.1654 6.1654 6.0548
angles: 90.00 90.00 90.00
Element x y z (fractional)
Rb (0.0000, 0.0000, 0.0000)
Sr (0.5000, 0.5000, 0.0000)
Zn (0.0000, 0.5000, 0.5000)
Zn (0.5000, 0.0000, 0.5000)
Te (0.5000, 0.5000, 0.5000)

DFT total energy ... -1.576 eV/atom
Space group ... P4/mmm (123)
Formation energy from raw total energies ... 92 meV/atom

---

No. 8
The following is a PBE-GGA calculation of a relaxed structure of CoCuRh2, from Alexandria via LeMat-Bulk.

abc: 3.8243 3.8243 7.1989
angles: 90.00 90.00 90.00
Element x y z (fractional)
Co (0.0000, 0.0000, 0.0000)
Co (0.5000, 0.5000, 0.5000)
Cu (0.0000, 0.0000, 0.5000)
Cu (0.5000, 0.5000, 0.0000)
Rh (0.0000, 0.5000, 0.2500)
Rh (0.0000, 0.5000, 0.7500)
Rh (0.5000, 0.0000, 0.2500)
Rh (0.5000, 0.0000, 0.7500)

Polymorph energy (0 for the lowest one) ... 86 meV per atom
DFT total energy ... -6.359 eV/atom
Space group ... I4/mmm (139)
Energy of formation from the pure elements ... 117 meV/atom

---

No. 9
The following is a PBE-GGA calculation of a relaxed structure of Cd4In2Hg5, from Alexandria via LeMat-Bulk.

abc: 11.7638 11.7638 8.6462
angles: 109.10 109.10 14.82
Element x y z (fractional)
Cd (0.0720, 0.0720, 0.2288)
Cd (0.3064, 0.3064, 0.0899)
Cd (0.6936, 0.6936, 0.9101)
Cd (0.9280, 0.9280, 0.7712)
In (0.4374, 0.4374, 0.1124)
In (0.5626, 0.5626, 0.8876)
Hg (0.1460, 0.1460, 0.5780)
Hg (0.2109, 0.2109, 0.2922)
Hg (0.5000, 0.5000, 0.5000)
Hg (0.7891, 0.7891, 0.7078)
Hg (0.8540, 0.8540, 0.4220)

Polymorph energy (0 for the lowest one) ... 0 meV per atom
DFT total energy ... -0.948 eV/atom
Space group ... C2/m (12)
Energy of formation from the pure elements ... 20 meV/atom

---

No. 10
The following is a PBE-GGA calculation of a relaxed structure of Rb2ScPtF6, from Alexandria via LeMat-Bulk.

abc: 6.3073 6.3073 6.3073
angles: 115.39 115.39 98.18
Element x y z (fractional)
Rb (0.2500, 0.7500, 0.5000)
Rb (0.7500, 0.2500, 0.5000)
Sc (0.0000, 0.0000, 0.0000)
Pt (0.5000, 0.5000, 0.0000)
F (0.2110, 0.2110, 0.4220)
F (0.2110, 0.7890, 0.0000)
F (0.2502, 0.2502, 0.0000)
F (0.7498, 0.7498, 0.0000)
F (0.7890, 0.2110, 0.0000)
F (0.7890, 0.7890, 0.5780)

DFT total energy ... -5.171 eV/atom
Space group ... I4/mmm (139)
Formation energy from raw total energies ... -2617 meV/atom

---

No. 11
The following is a PBE-GGA calculation of a relaxed structure of K2ZrTl, from Alexandria via LeMat-Bulk.

abc: 21.2703 3.7890 4.5578
angles: 90.00 102.32 90.00
Element x y z (fractional)
K (0.1537, 0.0000, 0.1525)
K (0.3463, 0.5000, 0.8475)
K (0.6537, 0.5000, 0.1525)
K (0.8463, 0.0000, 0.8475)
Zr (0.0000, 0.0000, 0.5000)
Zr (0.5000, 0.5000, 0.5000)
Tl (0.0000, 0.5000, 0.0000)
Tl (0.5000, 0.0000, 0.0000)

Polymorph energy (0 for the lowest one) ... 11 meV per atom
DFT total energy ... -2.932 eV/atom
Space group ... C2/m (12)
Energy of formation from the pure elements ... 345 meV/atom

---

No. 12
The following is a PBE-GGA calculation of a relaxed structure of Dy5Ho6Er, from Alexandria via LeMat-Bulk.

abc: 10.0377 10.0377 5.7401
angles: 106.60 106.60 124.66
Element x y z (fractional)
Dy (0.0000, 0.0000, 0.0000)
Dy (0.1799, 0.8201, 0.5000)
Dy (0.3199, 0.6801, 0.0000)
Dy (0.6801, 0.3199, 0.0000)
Dy (0.8201, 0.1799, 0.5000)
Ho (0.0981, 0.4036, 0.2511)
Ho (0.2509, 0.2509, 0.7511)
Ho (0.4036, 0.0981, 0.2511)
Ho (0.5964, 0.9019, 0.7489)
Ho (0.7491, 0.7491, 0.2489)
Ho (0.9019, 0.5964, 0.7489)
Er (0.5000, 0.5000, 0.5000)

DFT total energy ... -4.468 eV/atom
Space group ... C2/m (12)
Energy of formation from the pure elements ... 119 meV/atom

---

No. 13
The following is a PBE-GGA calculation of a relaxed structure of CeHfZr4Sc2, from Alexandria via LeMat-Bulk.

abc: 5.3851 5.3820 6.5332
angles: 90.00 90.10 90.00
Element x y z (fractional)
Ce (0.0000, 0.0000, 0.0000)
Hf (0.5000, 0.5000, 0.0000)
Zr (0.0014, 0.5000, 0.2319)
Zr (0.4997, 0.0000, 0.2320)
Zr (0.5003, 0.0000, 0.7680)
Zr (0.9986, 0.5000, 0.7681)
Sc (0.0000, 0.0000, 0.5000)
Sc (0.5000, 0.5000, 0.5000)

DFT total energy ... -7.725 eV/atom
Space group ... P2/m (10)
Energy of formation from the pure elements ... 118 meV/atom

---

No. 14
The following is a PBE-GGA calculation of a relaxed structure of CoSbIN2, from Alexandria via LeMat-Bulk.

abc: 4.0827 4.0827 5.1313
angles: 90.00 90.00 90.00
Element x y z (fractional)
Co (0.0000, 0.0000, 0.0000)
Sb (0.5000, 0.5000, 0.5000)
I (0.0000, 0.0000, 0.5000)
N (0.0000, 0.5000, 0.0000)
N (0.5000, 0.0000, 0.0000)

Polymorph energy (0 for the lowest one) ... 0 meV per atom
DFT total energy ... -4.396 eV/atom
Space group ... P4/mmm (123)
Formation energy from raw total energies ... 1490 meV/atom

---

No. 15
The following is a PBE-GGA calculation of a relaxed structure of Ta2Mn, from Alexandria via LeMat-Bulk.

abc: 4.2128 4.2128 2.9809
angles: 90.00 90.00 90.00
Element x y z (fractional)
Ta (0.0000, 0.5000, 0.0000)
Ta (0.5000, 0.0000, 0.0000)
Mn (0.0000, 0.0000, 0.5000)

DFT total energy ... -10.580 eV/atom
Space group ... P4/mmm (123)
Energy of formation from the pure elements ... 379 meV/atom

---

No. 16
The following is a PBE-GGA calculation of a relaxed structure of ZrSn2Hg, from Alexandria via LeMat-Bulk.

abc: 4.7437 4.7437 4.1265
angles: 90.00 90.00 90.00
Element x y z (fractional)
Zr (0.0000, 0.0000, 0.0000)
Sn (0.0000, 0.5000, 0.5000)
Sn (0.5000, 0.0000, 0.5000)
Hg (0.5000, 0.5000, 0.0000)

DFT total energy ... -4.347 eV/atom
Space group ... P4/mmm (123)
Energy of formation from the pure elements ... -133 meV/atom

---

No. 17
The following is a PBE-GGA calculation of a relaxed structure of Nd3TlZn2, from Alexandria via LeMat-Bulk.

abc: 3.7010 3.7010 11.6707
angles: 90.00 90.00 90.00
Element x y z (fractional)
Nd (0.0000, 0.0000, 0.0000)
Nd (0.0000, 0.0000, 0.3125)
Nd (0.0000, 0.0000, 0.6875)
Tl (0.5000, 0.5000, 0.5000)
Zn (0.5000, 0.5000, 0.1534)
Zn (0.5000, 0.5000, 0.8466)

DFT total energy ... -3.535 eV/atom
Space group ... P4/mmm (123)
Energy of formation from the pure elements ... -332 meV/atom

---

No. 18
The following is a PBE-GGA calculation of a relaxed structure of Al3Cu4, from Alexandria via LeMat-Bulk.

abc: 6.6366 6.6366 6.6366
angles: 113.62 113.62 113.62
Element x y z (fractional)
Al (0.0525, 0.7715, 0.6337)
Al (0.2285, 0.3663, 0.9475)
Al (0.3663, 0.9475, 0.2285)
Al (0.6337, 0.0525, 0.7715)
Al (0.7715, 0.6337, 0.0525)
Al (0.9475, 0.2285, 0.3663)
Cu (0.0000, 0.0000, 0.0000)
Cu (0.1268, 0.5675, 0.2722)
Cu (0.2722, 0.1268, 0.5675)
Cu (0.4325, 0.7278, 0.8732)
Cu (0.5000, 0.5000, 0.5000)
Cu (0.5675, 0.2722, 0.1268)
Cu (0.7278, 0.8732, 0.4325)
Cu (0.8732, 0.4325, 0.7278)

Polymorph energy (0 for the lowest one) ... 0 meV per atom
DFT total energy ... -4.136 eV/atom
Space group ... R-3 (148)
Energy of formation from the pure elements ... -191 meV/atom

---

No. 19
The following is a PBE-GGA calculation of a relaxed structure of VPb3C, from Alexandria via LeMat-Bulk.

abc: 5.0148 5.0148 5.0148
angles: 90.00 90.00 90.00
Element x y z (fractional)
V (0.0000, 0.0000, 0.0000)
Pb (0.0000, 0.5000, 0.5000)
Pb (0.5000, 0.0000, 0.5000)
Pb (0.5000, 0.5000, 0.0000)
C (0.5000, 0.5000, 0.5000)

Polymorph energy (0 for the lowest one) ... 0 meV per atom
DFT total energy ... -4.563 eV/atom
Space group ... Pm-3m (221)
Energy of formation from the pure elements ... 1331 meV/atom

---

No. 20
The following is a PBE-GGA calculation of a relaxed structure of Pu3Rh3Au2, from Alexandria via LeMat-Bulk.

abc: 8.1521 8.1521 5.6149
angles: 90.00 90.00 120.00
Element x y z (fractional)
Pu (0.0000, 0.2706, 0.2500)
Pu (0.0000, 0.7294, 0.7500)
Pu (0.2706, 0.0000, 0.2500)
Pu (0.2706, 0.2706, 0.7500)
Pu (0.7294, 0.0000, 0.7500)
Pu (0.7294, 0.7294, 0.2500)
Rh (0.0000, 0.3830, 0.7500)
Rh (0.0000, 0.6170, 0.2500)
Rh (0.3830, 0.0000, 0.7500)
Rh (0.3830, 0.3830, 0.2500)
Rh (0.6170, 0.0000, 0.2500)
Rh (0.6170, 0.6170, 0.7500)
Au (0.3333, 0.6667, 0.0000)
Au (0.3333, 0.6667, 0.5000)
Au (0.6667, 0.3333, 0.0000)
Au (0.6667, 0.3333, 0.5000)

DFT total energy ... -9.332 eV/atom
Space group ... P6_3/mcm (193)
Energy of formation from the pure elements ... -381 meV/atom